MgGaAs3: relaxed, PBE.

Computed properties:
For the volume, the calculation gives 127 Å³ per cell. As for the total magnetization: 0.00 μB/f.u. Its uncorrected energy is -3.0938 eV/atom. As for the space group: Pm-3m, No. 221. The calculated formation energy comes out at 0.620 eV per atom.

abc: 5.0266 5.0266 5.0266
angles: 90.00 90.00 90.00
With the nearest neighbours (Å) after each atom.
Fractional positions:
Mg 0.0000 0.0000 0.0000  6 As 2.51
Ga 0.5000 0.5000 0.5000  12 As 3.55
As 0.0000 0.0000 0.5000  2 Mg 2.51
As 0.0000 0.5000 0.0000  2 Mg 2.51
As 0.5000 0.0000 0.0000  2 Mg 2.51



MgGa2As2: relaxed, PBE.

Computed properties:
For the volume, the calculation gives 205 Å³ per cell. As for the total magnetization: 0.00 μB/f.u. Its uncorrected energy is -3.4238 eV/atom. As for the space group: I4/mmm, No. 139. The calculated formation energy comes out at -0.034 eV per atom.

abc: 3.7797 3.7797 14.3371
angles: 90.00 90.00 90.00
With the nearest neighbours (Å) after each atom.
Fractional positions:
Mg 0.0000 0.0000 0.0000  8 As 2.96
Mg 0.5000 0.5000 0.5000  8 As 2.96
Ga 0.0000 0.5000 0.2500  4 Ga 2.67, 4 As 2.98
Ga 0.0000 0.5000 0.7500  4 Ga 2.67, 4 As 2.98
Ga 0.5000 0.0000 0.2500  4 Ga 2.67, 4 As 2.98
Ga 0.5000 0.0000 0.7500  4 Ga 2.67, 4 As 2.98
As 0.0000 0.0000 0.4109  1 As 2.56
As 0.0000 0.0000 0.5891  1 As 2.56
As 0.5000 0.5000 0.0891  1 As 2.56
As 0.5000 0.5000 0.9109  1 As 2.56



Mg3GaAs: relaxed, PBE.

Computed properties:
For the volume, the calculation gives 127 Å³ per cell. As for the total magnetization: 0.00 μB/f.u. Its uncorrected energy is -2.4382 eV/atom. As for the space group: Pm-3m, No. 221. The calculated formation energy comes out at 0.054 eV per atom.

abc: 5.0277 5.0277 5.0277
angles: 90.00 90.00 90.00
With the nearest neighbours (Å) after each atom.
Fractional positions:
Mg 0.0000 0.0000 0.5000  2 As 2.51
Mg 0.0000 0.5000 0.0000  2 As 2.51
Mg 0.5000 0.0000 0.0000  2 As 2.51
Ga 0.5000 0.5000 0.5000  12 Mg 3.56
As 0.0000 0.0000 0.0000  6 Mg 2.51